The following is a DFT calculation (PBE) of a relaxed structure of Li2MnNiH6.

Computed properties:
**Raw total energy**: -40.11 eV for the cell shown
**Spin magnetization**: 3.21 μB/f.u.
**V**: 73 Å³/cell

a b c (Å): 4.694 4.694 4.705
angles (deg): 60.08 60.08 60.00
Each line ends with the local moment (μB).
Atoms (fractional coordinates):
H  0.575  0.143  0.283  -0.01
H  0.098  0.472  0.787  -0.02
H  0.999  0.575  0.283  -0.01
H  0.143  0.999  0.283  -0.01
H  0.644  0.098  0.787  -0.02
H  0.472  0.644  0.787  -0.02
Mn  0.810  0.810  0.569  3.09
Ni  0.316  0.316  0.053  -0.03
Li  0.552  0.552  0.345  0.00
Li  0.054  0.054  0.839  0.00